CaErTm4Te8: relaxed, PBE.

Lattice parameters (Å, degrees): 9.017 9.017 9.017 59.95 59.95 59.95
Sites, in units of the cell vectors:
Ca 0.000 0.000 0.000
Er 0.628 0.628 0.628
Tm 0.119 0.627 0.627
Tm 0.250 0.250 0.250
Tm 0.627 0.119 0.627
Tm 0.627 0.627 0.119
Te 0.383 0.383 0.383
Te 0.383 0.383 0.851
Te 0.383 0.851 0.383
Te 0.406 0.866 0.866
Te 0.851 0.383 0.383
Te 0.865 0.865 0.865
Te 0.866 0.406 0.866
Te 0.866 0.866 0.406

Output
The uncorrected formation energy is -1281 meV/atom. As for the size of the total moment: 0.000 μB/f.u. Its crystal system is trigonal. Its space group is R3m.

AlSnPb2Se5: relaxed, PBE.

Lattice parameters (Å, degrees): 9.404 9.404 13.260 90.00 90.00 155.42
Sites, in units of the cell vectors:
Al 0.053 0.947 0.500
Al 0.947 0.053 0.000
Sn 0.296 0.704 0.102
Sn 0.704 0.296 0.602
Pb 0.376 0.624 0.399
Pb 0.376 0.624 0.748
Pb 0.624 0.376 0.248
Pb 0.624 0.376 0.899
Se 0.011 0.989 0.845
Se 0.144 0.856 0.084
Se 0.181 0.819 0.447
Se 0.211 0.789 0.752
Se 0.462 0.538 0.106
Se 0.538 0.462 0.606
Se 0.789 0.211 0.252
Se 0.819 0.181 0.947
Se 0.856 0.144 0.584
Se 0.989 0.011 0.345

Output
The uncorrected formation energy is -571 meV/atom. As for the size of the total moment: 0.000 μB/f.u. Its crystal system is orthorhombic. Its space group is Cmc2_1.

Sm2TiSb3Rh4: relaxed, PBE.

Lattice parameters (Å, degrees): 4.306 4.306 11.141 90.00 90.00 90.00
Sites, in units of the cell vectors:
Sm 0.000 0.500 0.245
Sm 0.500 0.000 0.755
Ti 0.000 0.000 0.500
Sb 0.000 0.500 0.862
Sb 0.500 0.000 0.138
Sb 0.500 0.500 0.500
Rh 0.000 0.000 0.000
Rh 0.000 0.500 0.632
Rh 0.500 0.000 0.368
Rh 0.500 0.500 0.000

Output
The uncorrected formation energy is -830 meV/atom. As for the size of the total moment: 0.000 μB/f.u. Its crystal system is tetragonal. Its space group is P-4m2.

Ce2RuO: relaxed, PBE.

Lattice parameters (Å, degrees): 3.664 3.664 19.776 90.00 90.00 120.00
Sites, in units of the cell vectors:
Ce 0.000 0.000 0.240
Ce 0.000 0.000 0.760
Ce 0.333 0.667 0.427
Ce 0.333 0.667 0.906
Ce 0.667 0.333 0.094
Ce 0.667 0.333 0.573
Ru 0.000 0.000 0.000
Ru 0.333 0.667 0.667
Ru 0.667 0.333 0.333
O 0.000 0.000 0.500
O 0.333 0.667 0.167
O 0.667 0.333 0.833

Output
The uncorrected formation energy is -1385 meV/atom. As for the size of the total moment: 0.001 μB/f.u. Its crystal system is trigonal. Its energy above the most stable polymorph in this dataset is 0.0000 eV per atom. Its space group is R-3m.

Tb2ZnHg2: relaxed, PBE.

Lattice parameters (Å, degrees): 3.623 4.550 14.577 90.00 90.00 90.00
Sites, in units of the cell vectors:
Tb 0.000 0.000 0.000
Tb 0.000 0.000 0.242
Tb 0.000 0.500 0.500
Tb 0.000 0.500 0.742
Zn 0.500 0.000 0.422
Zn 0.500 0.500 0.922
Hg 0.500 0.000 0.614
Hg 0.500 0.000 0.822
Hg 0.500 0.500 0.114
Hg 0.500 0.500 0.322

Output
As for the size of the total moment: 0.000 μB/f.u. Its crystal system is orthorhombic. Its energy above the most stable polymorph in this dataset is 0.0034 eV per atom. Its space group is Amm2.

BeIn: relaxed, PBE.

Lattice parameters (Å, degrees): 2.902 2.902 8.528 90.00 90.00 90.00
Sites, in units of the cell vectors:
Be 0.250 0.250 0.060
Be 0.750 0.750 0.940
In 0.250 0.250 0.681
In 0.750 0.750 0.319

Output
As for the size of the total moment: 0.000 μB/f.u. Its crystal system is tetragonal. Its energy above the most stable polymorph in this dataset is 0.1652 eV per atom. Its space group is P4/nmm.

SrPa2Te4: relaxed, PBE.

Lattice parameters (Å, degrees): 7.400 7.400 15.529 90.00 90.00 145.58
Sites, in units of the cell vectors:
Sr 0.102 0.898 0.750
Sr 0.898 0.102 0.250
Pa 0.360 0.640 0.560
Pa 0.360 0.640 0.940
Pa 0.640 0.360 0.060
Pa 0.640 0.360 0.440
Te 0.000 0.000 0.000
Te 0.000 0.000 0.500
Te 0.279 0.721 0.125
Te 0.279 0.721 0.375
Te 0.428 0.572 0.750
Te 0.572 0.428 0.250
Te 0.721 0.279 0.625
Te 0.721 0.279 0.875

Output
The uncorrected formation energy is -974 meV/atom. As for the size of the total moment: 3.307 μB/f.u. Its crystal system is orthorhombic. Its space group is Cmcm.

Te2SeNCl: relaxed, PBE.

Lattice parameters (Å, degrees): 5.938 5.938 3.594 90.00 90.00 90.00
Sites, in units of the cell vectors:
Te 0.000 0.500 0.000
Te 0.500 0.000 0.000
Se 0.000 0.000 0.000
N 0.000 0.000 0.500
Cl 0.500 0.500 0.500

Output
The uncorrected formation energy is 979 meV/atom. As for the size of the total moment: 0.000 μB/f.u. Its crystal system is tetragonal. Its energy above the most stable polymorph in this dataset is 0.0000 eV per atom. Its space group is P4/mmm.

These records have DOS at the Fermi energy values of 4.6, 2.3, 7.4, 4.9, 4.5, 0.6, 10.0, 6.1 states/eV/f.u., in the order they appear.
These records have raw total energy values of -4.82, -4.19, -6.74, -7.91, -2.61, -2.78, -5.72, -3.01 eV per atom, in the order they appear.
These records have calculated volume values of 517.8, 243.9, 206.6, 76.6, 120.1, 35.9, 240.4, 126.7 Å³/f.u., in the order they appear.